NaPtN2F | PBE | optimized geometry

Cell: 3.7152 3.7152 6.4551 Å, 90.00 90.00 90.00°
Last column: nearest neighbours and their distance in Å.
Fractional coordinates of all 5 atoms:
F1 0.0000 0.0000 0.5000  4 Na 2.63
N1 0.5000 0.0000 0.0000  2 Pt 1.86
N2 0.0000 0.5000 0.0000  2 Pt 1.86
Pt1 0.0000 0.0000 0.0000  4 N 1.86
Na1 0.5000 0.5000 0.5000  4 F 2.63

Computed properties:
Raw total energy (eV per cell): -25.53
Formation energy from raw total energies (eV per atom): 0.0696
Distance to the lowest polymorph of the same formula (meV/atom): 0.0
Fermi-level density of states (states/eV/atom): 0.49